*i*
DFT (PBE) results for a geometry-optimized Hf2BeB structure.

a b c (Å): 3.385 5.041 7.118
angles (deg): 110.61 90.00 90.00
Sites, in units of the cell vectors:
1 Be 0.250 0.391 0.725
2 Be 0.750 0.609 0.275
3 Hf 0.250 0.779 0.572
4 Hf 0.250 0.789 0.069
5 Hf 0.750 0.211 0.931
6 Hf 0.750 0.221 0.428
7 B 0.750 0.624 0.785
8 B 0.250 0.376 0.215

Computed properties:
space-group type = No. 11
Fermi-level density of states = 7.3 states/eV per cell
spin magnetization = 0.0 μB/f.u.

=====

*ii*
DFT (PBE) results for a geometry-optimized Hf2BeB structure.

a b c (Å): 6.528 6.528 5.503
angles (deg): 53.62 53.62 90.00
Sites, in units of the cell vectors:
1 Be 0.500 0.500 0.000
2 Be 0.250 0.750 0.500
3 B 0.000 0.000 0.000
4 B 0.750 0.250 0.500
5 Hf 0.654 0.125 0.250
6 Hf 0.875 0.904 0.750
7 Hf 0.096 0.625 0.250
8 Hf 0.375 0.346 0.750

Computed properties:
space-group type = No. 122
Fermi-level density of states = 2.2 states/eV per cell
spin magnetization = 0.0 μB/f.u.

=====

*i* comes first in stability; the runner-up is 658 meV per atom higher.

=====

*i*
DFT (PBE) results for a geometry-optimized BeHg2B structure.

a b c (Å): 4.489 4.489 4.489
angles (deg): 60.00 60.00 60.00
Sites, in units of the cell vectors:
1 B 0.500 0.500 0.500
2 Hg 0.750 0.750 0.750
3 Hg 0.250 0.250 0.250
4 Be 0.000 0.000 0.000

Computed properties:
space-group type = No. 225
Fermi-level density of states = 2.3 states/eV per cell
spin magnetization = 0.0 μB/f.u.

=====

*ii*
DFT (PBE) results for a geometry-optimized BeHg2B structure.

a b c (Å): 6.205 6.205 5.786
angles (deg): 57.57 57.57 90.00
Sites, in units of the cell vectors:
1 Hg 0.106 0.625 0.250
2 Hg 0.875 0.894 0.750
3 Hg 0.375 0.356 0.750
4 Hg 0.644 0.125 0.250
5 B 0.000 0.000 0.000
6 B 0.750 0.250 0.500
7 Be 0.500 0.500 0.000
8 Be 0.250 0.750 0.500

Computed properties:
space-group type = No. 122
Fermi-level density of states = 3.6 states/eV per cell
spin magnetization = 0.0 μB/f.u.

=====

*ii* comes first in stability; the runner-up is 183 meV per atom higher.

=====

*i*
DFT (PBE) results for a geometry-optimized BeHgB3 structure.

a b c (Å): 3.896 3.896 3.896
angles (deg): 90.00 90.00 90.00
Sites, in units of the cell vectors:
1 B 0.500 0.000 0.000
2 B 0.000 0.000 0.500
3 B 0.000 0.500 0.000
4 Be 0.000 0.000 0.000
5 Hg 0.500 0.500 0.500

Computed properties:
space-group type = No. 221
Fermi-level density of states = 2.2 states/eV per cell
spin magnetization = 0.0 μB/f.u.

=====

*ii*
DFT (PBE) results for a geometry-optimized BeHgB3 structure.

a b c (Å): 4.355 4.355 4.355
angles (deg): 90.00 90.00 90.00
Sites, in units of the cell vectors:
1 B 0.000 0.500 0.000
2 B 0.500 0.000 0.000
3 B 0.000 0.000 0.500
4 Hg 0.000 0.000 0.000
5 Be 0.500 0.500 0.500

Computed properties:
space-group type = No. 221
Fermi-level density of states = 3.8 states/eV per cell
spin magnetization = 0.0 μB/f.u.

=====

*i* comes first in stability; the runner-up is 985 meV per atom higher.

=====

*i*
DFT (PBE) results for a geometry-optimized LaBe2BI structure.

a b c (Å): 4.589 6.023 4.589
angles (deg): 90.00 90.00 90.00
Sites, in units of the cell vectors:
1 La 0.000 0.500 0.000
2 I 0.000 0.000 0.000
3 Be 0.500 0.000 0.000
4 Be 0.000 0.000 0.500
5 B 0.500 0.500 0.500

Computed properties:
space-group type = No. 123
Fermi-level density of states = 4.2 states/eV per cell
spin magnetization = 0.0 μB/f.u.

=====

*ii*
DFT (PBE) results for a geometry-optimized LaBe2BI structure.

a b c (Å): 5.717 4.830 5.717
angles (deg): 90.00 90.00 90.00
Sites, in units of the cell vectors:
1 La 0.000 0.000 0.000
2 I 0.500 0.500 0.500
3 B 0.000 0.500 0.000
4 Be 0.500 0.000 0.000
5 Be 0.000 0.000 0.500

Computed properties:
space-group type = No. 123
Fermi-level density of states = 5.0 states/eV per cell
spin magnetization = 0.0 μB/f.u.

=====

*i* comes first in stability; the runner-up is 192 meV per atom higher.

=====

*i*
DFT (PBE) results for a geometry-optimized BeBI2N structure.

a b c (Å): 7.427 7.427 2.721
angles (deg): 90.00 90.00 90.00
Sites, in units of the cell vectors:
1 B 0.000 0.000 0.000
2 N 0.000 0.000 0.500
3 I 0.000 0.500 0.000
4 I 0.500 0.000 0.000
5 Be 0.500 0.500 0.500

Computed properties:
space-group type = No. 123
Fermi-level density of states = 1.7 states/eV per cell
spin magnetization = 0.0 μB/f.u.

=====

*ii*
DFT (PBE) results for a geometry-optimized BeBI2N structure.

a b c (Å): 5.565 5.565 3.188
angles (deg): 90.00 90.00 90.00
Sites, in units of the cell vectors:
1 Be 0.000 0.000 0.000
2 N 0.000 0.000 0.500
3 I 0.500 0.000 0.000
4 I 0.000 0.500 0.000
5 B 0.500 0.500 0.500

Computed properties:
space-group type = No. 123
Fermi-level density of states = 3.0 states/eV per cell
spin magnetization = 0.0 μB/f.u.

=====

*i* comes first in stability; the runner-up is 734 meV per atom higher.

=====

*i*
DFT (PBE) results for a geometry-optimized BeBIO2 structure.

a b c (Å): 3.283 3.283 6.430
angles (deg): 90.00 90.00 90.00
Sites, in units of the cell vectors:
1 O 0.500 0.000 0.000
2 O 0.000 0.500 0.000
3 Be 0.500 0.500 0.500
4 B 0.000 0.000 0.000
5 I 0.000 0.000 0.500

Computed properties:
space-group type = No. 123
Fermi-level density of states = 1.5 states/eV per cell
spin magnetization = 0.0 μB/f.u.

=====

*ii*
DFT (PBE) results for a geometry-optimized BeBIO2 structure.

a b c (Å): 3.345 3.345 6.177
angles (deg): 90.00 90.00 90.00
Sites, in units of the cell vectors:
1 I 0.000 0.000 0.500
2 O 0.500 0.000 0.000
3 O 0.000 0.500 0.000
4 Be 0.000 0.000 0.000
5 B 0.500 0.500 0.500

Computed properties:
space-group type = No. 123
Fermi-level density of states = 3.8 states/eV per cell
spin magnetization = 0.0 μB/f.u.

=====

*i* comes first in stability; the runner-up is 145 meV per atom higher.